# CsK2Rb6F PBE relaxed
# Uncorrected energy, eV/f.u.: -15.7
# Raw formation energy, eV/atom: -0.496
# Magnetization, μB/atom: 0.000
# Volume, Å³ per cell: 809.76
data_CsK2Rb6F
_space_group_name_H-M_alt 'P 1'
_space_group_IT_number 1
_cell_length_a 8.663
_cell_length_b 8.847
_cell_length_c 11.654
_cell_angle_alpha 70.71
_cell_angle_beta 73.87
_cell_angle_gamma 85.29
loop_
_space_group_symop_operation_xyz
'x,y,z'
loop_
_atom_site_label
_atom_site_fract_x
_atom_site_fract_y
_atom_site_fract_z
Cs1 0.000 0.000 0.000
K1 0.282 0.462 0.038
K2 0.464 0.894 0.150
Rb1 0.076 0.994 0.492
Rb2 0.092 0.517 0.476
Rb3 0.536 0.182 0.729
Rb4 0.616 0.759 0.532
Rb5 0.675 0.353 0.274
Rb6 0.846 0.598 0.831
F1 0.905 0.720 0.580